Entry 1:
DFT (PBE) results for Ba2MgTa after structural relaxation.

Structure (POSCAR):
```
Ba2MgTa
1.0
6.012 0.008 -0.009
5.079 3.217 -0.009
0.694 0.202 6.671
Ba Mg Ta
2 1 1
direct
0.998 0.998 0.008
0.502 0.502 0.492
0.750 0.750 0.750
0.250 0.250 0.250
```

Total DFT energy (no corrections) (eV for the cell shown): -13.42

***

Entry 2:
DFT (PBE) results for MgCo2Ag after structural relaxation.

Structure (POSCAR):
```
MgCo2Ag
1.0
3.625 0.000 0.000
0.000 3.625 0.000
1.813 1.813 9.430
Mg Co Ag
2 4 2
direct
0.500 0.500 0.000
0.250 0.750 0.500
0.597 0.125 0.250
0.153 0.625 0.250
0.375 0.403 0.750
0.875 0.847 0.750
0.000 0.000 0.000
0.750 0.250 0.500
```

Total DFT energy (no corrections) (eV for the cell shown): -33.30

***

Entry 3:
DFT (PBE) results for YHoCdAu after structural relaxation.

Structure (POSCAR):
```
YHoCdAu
1.0
-1.842 4.695 -1.178
-4.940 0.553 -1.455
-3.385 2.320 3.159
Y Au Ho Cd
1 1 1 1
direct
0.750 0.750 0.750
0.500 0.500 0.500
0.250 0.250 0.250
0.000 0.000 0.000
```

Total DFT energy (no corrections) (eV for the cell shown): -17.52

***

Entry 4:
DFT (PBE) results for Rb2TeBr6O after structural relaxation.

Structure (POSCAR):
```
Rb2TeBr6O
1.0
7.308 0.000 0.000
0.000 7.308 0.000
3.654 3.654 5.947
O Te Br Rb
1 1 6 2
direct
0.500 0.500 0.000
0.000 0.000 0.000
0.230 0.230 0.540
0.770 0.770 0.460
0.268 0.268 0.000
0.732 0.732 0.000
0.732 0.268 0.000
0.268 0.732 0.000
0.750 0.250 0.500
0.250 0.750 0.500
```

Formation energy without anion corrections (meV per atom): -698
Total DFT energy (no corrections) (eV for the cell shown): -27.05

***

Entry 5:
DFT (PBE) results for CuAgHPd2 after structural relaxation.

Structure (POSCAR):
```
CuAgHPd2
1.0
-3.680 1.314 0.866
-0.740 -3.390 1.997
1.374 1.657 3.322
H Cu Pd Ag
1 1 2 1
direct
0.000 0.000 0.000
0.000 0.000 0.500
0.000 0.500 0.000
0.500 0.000 0.000
0.500 0.500 0.500
```

Total DFT energy (no corrections) (eV for the cell shown): -21.01

***

Entry 6:
DFT (PBE) results for LiErHg3 after structural relaxation.

Structure (POSCAR):
```
LiErHg3
1.0
4.868 -0.671 1.485
0.642 5.119 0.208
-0.077 -0.343 8.832
Li Er Hg
2 2 6
direct
0.853 0.845 0.012
0.558 0.344 0.602
0.354 0.345 0.007
0.057 0.844 0.607
0.154 0.344 0.413
0.956 0.344 0.802
0.653 0.844 0.413
0.758 0.344 0.202
0.257 0.845 0.202
0.455 0.845 0.813
```

Total DFT energy (no corrections) (eV for the cell shown): -18.44

***

Please write out number 6 again, unchanged.
DFT (PBE) results for LiErHg3 after structural relaxation.

Structure (POSCAR):
```
LiErHg3
1.0
4.868 -0.671 1.485
0.642 5.119 0.208
-0.077 -0.343 8.832
Li Er Hg
2 2 6
direct
0.853 0.845 0.012
0.558 0.344 0.602
0.354 0.345 0.007
0.057 0.844 0.607
0.154 0.344 0.413
0.956 0.344 0.802
0.653 0.844 0.413
0.758 0.344 0.202
0.257 0.845 0.202
0.455 0.845 0.813
```

Total DFT energy (no corrections) (eV for the cell shown): -18.44

***

Q: Which of these has the lowest total DFT energy (no corrections)?
A: MgCo2Ag

***

Q: Look up the total DFT energy (no corrections) of the fourth one.
A: -27.05 eV for the cell shown